Record 1
Ag2TeSe after structural relaxation. Source: the Alexandria database, functional PBE.

Formation energy from raw total energies ... 0.004 eV/atom
ρ ... 7.61 g/cm3
Offset from the most stable computed form ... 13.3 meV per atom
Space-group type ... C2/m
Total magnetization ... 0.0 μB/f.u.

Geometry as extended XYZ:
```
4
Lattice="3.501 -2.008 0.000 3.501 2.008 0.000 -2.291 0.000 6.552" Properties=species:S:1:pos:R:3 pbc="T T T"
Ag 1.176 0.000 1.530
Ag 3.534 0.000 5.022
Te -1.146 0.000 3.276
Se 3.501 0.000 0.000
```


Record 2
Ag5TeSe2 after structural relaxation. Source: the Alexandria database, functional PBE.

Formation energy from raw total energies ... 0.008 eV/atom
ρ ... 5.97 g/cm3
Offset from the most stable computed form ... 0.0 meV per atom
Space-group type ... Cmcm
Total magnetization ... 0.0 μB/f.u.

Geometry as extended XYZ:
```
16
Lattice="2.306 -6.998 0.000 2.306 6.998 0.000 0.000 0.000 14.222" Properties=species:S:1:pos:R:3 pbc="T T T"
Ag 2.306 6.264 8.317
Ag 2.306 6.264 13.015
Ag 2.306 3.631 3.555
Ag 2.306 3.235 8.063
Ag 2.306 3.235 13.270
Ag 2.306 -3.235 0.952
Ag 2.306 -3.235 6.159
Ag 2.306 -3.631 10.666
Ag 2.306 -6.264 1.207
Ag 2.306 -6.264 5.904
Te 2.306 4.915 10.666
Te 2.306 -4.915 3.555
Se 2.306 5.088 1.221
Se 2.306 5.088 5.890
Se 2.306 -5.088 8.332
Se 2.306 -5.088 13.001
```


Record 3
Ag3Te2Se after structural relaxation. Source: the Alexandria database, functional PBE.

Formation energy from raw total energies ... 0.010 eV/atom
ρ ... 7.66 g/cm3
Space-group type ... C2/m
Total magnetization ... 0.0 μB/f.u.

Geometry as extended XYZ:
```
6
Lattice="6.410 -2.874 0.000 6.410 2.874 0.000 -1.285 0.000 3.870" Properties=species:S:1:pos:R:3 pbc="T T T"
Ag 0.000 0.000 0.000
Ag 3.966 0.000 1.328
Ag 7.569 0.000 2.541
Te 1.300 0.000 2.582
Te 10.235 0.000 1.288
Se 6.410 0.000 0.000
```